Entry 1:
Here is a relaxed RbCdNiC2 crystal from Alexandria via LeMat-Bulk. Energies are from GGA-PBE.

Geometry as POSCAR:
```
RbCdNiC2
1.0
4.397 0.000 0.000
0.000 4.397 0.000
0.000 0.000 5.993
Rb Cd Ni C
1 1 1 2
direct
0.000 0.000 0.000
0.000 0.000 0.500
0.500 0.500 0.000
0.000 0.500 0.500
0.500 0.000 0.500
```

Values from the calculation:
SG   P4/mmm (123)
Spin magnetization   1.98 μB/f.u.
ΔE_f   2.7598 eV/atom
Volume   23.18 Å³ per atom
Calculated total energy   -2.463 eV/atom
DOS at the Fermi energy   7.6 states/eV per cell

Entry 2:
Here is a relaxed CdNi2RhC crystal from Alexandria via LeMat-Bulk. Energies are from GGA-PBE.

Geometry as POSCAR:
```
CdNi2RhC
1.0
3.916 0.000 0.000
0.000 3.916 0.000
0.000 0.000 4.040
Cd Ni Rh C
1 2 1 1
direct
0.000 0.000 0.000
0.000 0.500 0.500
0.500 0.000 0.500
0.500 0.500 0.000
0.500 0.500 0.500
```

Values from the calculation:
SG   P4/mmm (123)
Spin magnetization   0.00 μB/f.u.
ΔE_f   0.0055 eV/atom
Volume   12.39 Å³ per atom
Calculated total energy   -5.805 eV/atom
DOS at the Fermi energy   4.0 states/eV per cell

Entry 3:
Here is a relaxed CdNi2RuC crystal from Alexandria via LeMat-Bulk. Energies are from GGA-PBE.

Geometry as POSCAR:
```
CdNi2RuC
1.0
3.924 0.000 0.000
0.000 3.924 0.000
0.000 0.000 4.004
Cd Ni Ru C
1 2 1 1
direct
0.000 0.000 0.000
0.000 0.500 0.500
0.500 0.000 0.500
0.500 0.500 0.000
0.500 0.500 0.500
```

Values from the calculation:
SG   P4/mmm (123)
Spin magnetization   0.00 μB/f.u.
ΔE_f   0.0728 eV/atom
Volume   12.33 Å³ per atom
Calculated total energy   -6.123 eV/atom
DOS at the Fermi energy   2.2 states/eV per cell

Entry 4:
Here is a relaxed CdNiRuC2 crystal from Alexandria via LeMat-Bulk. Energies are from GGA-PBE.

Geometry as POSCAR:
```
CdNiRuC2
1.0
3.872 0.000 0.000
0.000 3.872 0.000
0.000 0.000 5.362
Cd Ni Ru C
1 1 1 2
direct
0.000 0.000 0.000
0.500 0.500 0.000
0.000 0.000 0.500
0.000 0.500 0.500
0.500 0.000 0.500
```

Values from the calculation:
SG   P4/mmm (123)
Spin magnetization   0.00 μB/f.u.
ΔE_f   1.5736 eV/atom
Volume   16.08 Å³ per atom
Calculated total energy   -5.310 eV/atom
DOS at the Fermi energy   3.0 states/eV per cell

Entry 5:
Here is a relaxed Sc2CdNiC crystal from Alexandria via LeMat-Bulk. Energies are from GGA-PBE.

Geometry as POSCAR:
```
Sc2CdNiC
1.0
4.610 0.000 0.000
0.000 4.610 0.000
0.000 0.000 3.798
Sc Cd Ni C
2 1 1 1
direct
0.000 0.500 0.000
0.500 0.000 0.000
0.000 0.000 0.500
0.500 0.500 0.500
0.500 0.500 0.000
```

Values from the calculation:
SG   P4/mmm (123)
Spin magnetization   0.00 μB/f.u.
ΔE_f   -0.3503 eV/atom
Volume   16.14 Å³ per atom
Calculated total energy   -6.067 eV/atom
DOS at the Fermi energy   3.8 states/eV per cell

Entry 6:
Here is a relaxed Sr2CdNiC crystal from Alexandria via LeMat-Bulk. Energies are from GGA-PBE.

Geometry as POSCAR:
```
Sr2CdNiC
1.0
5.612 0.000 0.000
0.000 5.612 0.000
0.000 0.000 3.693
Sr Cd Ni C
2 1 1 1
direct
0.000 0.500 0.000
0.500 0.000 0.000
0.000 0.000 0.500
0.500 0.500 0.500
0.500 0.500 0.000
```

Values from the calculation:
SG   P4/mmm (123)
Spin magnetization   0.00 μB/f.u.
ΔE_f   -0.0383 eV/atom
Volume   23.26 Å³ per atom
Calculated total energy   -3.895 eV/atom
DOS at the Fermi energy   2.0 states/eV per cell

Entry 7:
Here is a relaxed Ti2CdNiC crystal from Alexandria via LeMat-Bulk. Energies are from GGA-PBE.

Geometry as POSCAR:
```
Ti2CdNiC
1.0
4.228 0.000 0.000
0.000 4.228 0.000
0.000 0.000 3.905
Ti Cd Ni C
2 1 1 1
direct
0.000 0.500 0.000
0.500 0.000 0.000
0.000 0.000 0.500
0.500 0.500 0.500
0.500 0.500 0.000
```

Values from the calculation:
SG   P4/mmm (123)
Spin magnetization   0.00 μB/f.u.
ΔE_f   -0.2602 eV/atom
Volume   13.96 Å³ per atom
Calculated total energy   -6.602 eV/atom
DOS at the Fermi energy   4.3 states/eV per cell

Entry 8:
Here is a relaxed ZrCdNiC2 crystal from Alexandria via LeMat-Bulk. Energies are from GGA-PBE.

Geometry as POSCAR:
```
ZrCdNiC2
1.0
4.073 0.000 0.000
0.000 4.073 0.000
0.000 0.000 5.574
Zr Cd Ni C
1 1 1 2
direct
0.000 0.000 0.000
0.000 0.000 0.500
0.500 0.500 0.000
0.000 0.500 0.500
0.500 0.000 0.500
```

Values from the calculation:
SG   P4/mmm (123)
Spin magnetization   0.82 μB/f.u.
ΔE_f   2.6516 eV/atom
Volume   18.50 Å³ per atom
Calculated total energy   -4.087 eV/atom
DOS at the Fermi energy   4.9 states/eV per cell

Entry 9:
Here is a relaxed CdCO3 crystal from Alexandria via LeMat-Bulk. Energies are from GGA-PBE.

Geometry as POSCAR:
```
CdCO3
1.0
4.027 0.000 0.000
0.000 4.027 0.000
0.000 0.000 4.027
Cd C O
1 1 3
direct
0.000 0.000 0.000
0.500 0.500 0.500
0.000 0.000 0.500
0.000 0.500 0.000
0.500 0.000 0.000
```

Values from the calculation:
SG   Pm-3m (221)
Spin magnetization   0.00 μB/f.u.
Volume   13.06 Å³ per atom
Uncorrected formation energy   1.9069 eV per atom
Calculated total energy   -3.096 eV/atom
DOS at the Fermi energy   4.1 states/eV per cell

Entry 10:
Here is a relaxed Cd2CO crystal from Alexandria via LeMat-Bulk. Energies are from GGA-PBE.

Geometry as POSCAR:
```
Cd2CO
1.0
-2.739 2.739 4.557
2.739 -2.739 4.557
2.739 2.739 -4.557
Cd C O
4 2 2
direct
0.123 0.625 0.998
0.375 0.373 0.498
0.627 0.125 0.002
0.875 0.877 0.502
0.250 0.750 0.500
0.500 0.500 0.000
0.000 0.000 0.000
0.750 0.250 0.500
```

Values from the calculation:
SG   I-42d (122)
Spin magnetization   0.00 μB/f.u.
Volume   17.09 Å³ per atom
Uncorrected formation energy   0.5949 eV per atom
Calculated total energy   -3.408 eV/atom
DOS at the Fermi energy   0.8 states/eV per cell

Entry 11:
Here is a relaxed CdCO3 crystal from Alexandria via LeMat-Bulk. Energies are from GGA-PBE.

Geometry as POSCAR:
```
CdCO3
1.0
2.508 1.448 5.536
-2.508 1.448 5.536
0.000 -2.895 5.536
Cd C O
2 2 6
direct
0.000 0.000 0.000
0.500 0.500 0.500
0.250 0.250 0.250
0.750 0.750 0.750
0.009 0.750 0.491
0.250 0.509 0.991
0.491 0.009 0.750
0.509 0.991 0.250
0.750 0.491 0.009
0.991 0.250 0.509
```

Values from the calculation:
SG   R-3c (167)
Spin magnetization   0.00 μB/f.u.
Volume   12.06 Å³ per atom
Uncorrected formation energy   -1.3434 eV per atom
Calculated total energy   -6.346 eV/atom
DOS at the Fermi energy   0.0 states/eV per cell

Entry 12:
Here is a relaxed CdCO2 crystal from Alexandria via LeMat-Bulk. Energies are from GGA-PBE.

Geometry as POSCAR:
```
CdCO2
1.0
0.000 3.573 3.573
3.573 0.000 3.573
3.573 3.573 0.000
Cd C O
2 2 4
direct
0.125 0.125 0.125
0.875 0.875 0.875
0.375 0.375 0.375
0.625 0.625 0.625
0.000 0.500 0.500
0.500 0.000 0.500
0.500 0.500 0.000
0.500 0.500 0.500
```

Values from the calculation:
SG   Fd-3m (227)
Spin magnetization   0.00 μB/f.u.
Volume   11.40 Å³ per atom
Uncorrected formation energy   0.4432 eV per atom
Calculated total energy   -4.571 eV/atom
DOS at the Fermi energy   1.9 states/eV per cell

Entry 13:
Here is a relaxed CdCO2 crystal from Alexandria via LeMat-Bulk. Energies are from GGA-PBE.

Geometry as POSCAR:
```
CdCO2
1.0
1.301 0.751 7.154
-1.301 0.751 7.154
0.000 -1.502 7.154
Cd C O
1 1 2
direct
0.000 0.000 0.000
0.500 0.500 0.500
0.125 0.125 0.125
0.875 0.875 0.875
```

Values from the calculation:
SG   R-3m (166)
Spin magnetization   0.00 μB/f.u.
Volume   10.48 Å³ per atom
Uncorrected formation energy   0.7006 eV per atom
Calculated total energy   -4.313 eV/atom
DOS at the Fermi energy   1.3 states/eV per cell